## Cu2AgAu8 (PBE)

Data for Cu2AgAu8 after structural relaxation.

Summary:
Distance to the lowest polymorph of the same formula in eV/f.u.: 0.00

Lattice parameters (Å, degrees): 14.482 4.158 6.535 90.00 106.94 90.00
Space group C2/m (No. 12)
Unique sites:
Cu: 0.226 0.000 0.140 x4
Ag: 0.000 0.500 0.500 x2
Au: 0.048 0.000 0.227 x4
Au: 0.101 0.500 0.965 x4
Au: 0.145 0.000 0.706 x4
Au: 0.183 0.500 0.420 x4


## Cu2AgAu (PBE)

Data for Cu2AgAu after structural relaxation.

Summary:
Distance to the lowest polymorph of the same formula in eV/f.u.: 0.31

Lattice parameters (Å, degrees): 2.8403 2.8403 26.3358 90.00 90.00 120.00
Space group R3m (No. 160, hexagonal axes)
Unique sites:
Cu: 0.0000 0.0000 0.0000 x3
Cu: 0.0000 0.0000 0.2615 x3
Ag: 0.0000 0.0000 0.5117 x3
Au: 0.0000 0.0000 0.7497 x3


no.,volume (Å³/atom)
1,17.1
2,15.3